CoOs2Pb, relaxed, DFT PBE; DFT total energy = -7.411 eV/atom; crystal system = trigonal; symmetry = R-3m (166); spin magnetization = 1.68 Bohr magnetons per cell; ΔH_f (0 K) = 0.9079 eV/atom
1.0
-8.038 1.329 5.031
-8.319 -1.457 4.513
-6.779 -0.571 6.739
Os Co Pb
2 1 1
Direct
0.014 0.014 0.014
0.486 0.486 0.486
0.750 0.750 0.750
0.250 0.250 0.250